one:
Density functional theory data (PBE) for crystalline Mo3PSe3 at its relaxed geometry.

Computed properties:
calculated volume = 22.53 Å³ per atom
size of the total moment = 0.09 μB per cell

The structure in POSCAR format:
```
Mo3PSe3
1.0
9.0405 0.0000 0.0000
-4.5203 7.8293 0.0000
0.0000 0.0000 4.4563
Mo P Se
6 2 6
Direct
0.0296 0.1861 0.2500 Mo
0.1565 0.9704 0.2500 Mo
0.1861 0.1565 0.7500 Mo
0.8139 0.8435 0.2500 Mo
0.8435 0.0296 0.7500 Mo
0.9704 0.8139 0.7500 Mo
0.3333 0.6667 0.7500 P
0.6667 0.3333 0.2500 P
0.0763 0.3734 0.7500 Se
0.2971 0.9237 0.7500 Se
0.3734 0.2971 0.2500 Se
0.6266 0.7029 0.7500 Se
0.7029 0.0763 0.2500 Se
0.9237 0.6266 0.2500 Se
```

=====

two:
Density functional theory data (PBE) for crystalline Mo3PSe3 at its relaxed geometry.

Computed properties:
calculated volume = 21.73 Å³ per atom
size of the total moment = 0.00 μB per cell

The structure in POSCAR format:
```
Mo3PSe3
1.0
8.5999 0.0000 0.0000
0.0000 4.6131 0.0000
-4.1211 0.0000 7.6667
Mo P Se
6 2 6
Direct
0.0517 0.2500 0.1964 Mo
0.1502 0.2500 0.9489 Mo
0.2052 0.7500 0.1485 Mo
0.7948 0.2500 0.8515 Mo
0.8498 0.7500 0.0511 Mo
0.9483 0.7500 0.8036 Mo
0.4800 0.2500 0.6680 P
0.5200 0.7500 0.3320 P
0.0874 0.7500 0.3737 Se
0.2789 0.7500 0.8886 Se
0.3969 0.2500 0.3092 Se
0.6031 0.7500 0.6908 Se
0.7211 0.2500 0.1114 Se
0.9126 0.2500 0.6263 Se
```

=====

Of them, the most stable is two and the least stable is one.

=====

one:
Density functional theory data (PBE) for crystalline MoPSe3 at its relaxed geometry.

Computed properties:
calculated volume = 21.99 Å³ per atom
size of the total moment = 3.06 μB per cell

The structure in POSCAR format:
```
MoPSe3
1.0
4.7908 0.0000 0.0000
0.0000 4.7908 0.0000
0.0000 0.0000 4.7908
Mo P Se
1 1 3
Direct
0.0000 0.0000 0.0000 Mo
0.5000 0.5000 0.5000 P
0.0000 0.5000 0.5000 Se
0.5000 0.0000 0.5000 Se
0.5000 0.5000 0.0000 Se
```

=====

two:
Density functional theory data (PBE) for crystalline MoPSe3 at its relaxed geometry.

Computed properties:
calculated volume = 23.75 Å³ per atom
size of the total moment = 1.43 μB per cell

The structure in POSCAR format:
```
MoPSe3
1.0
4.9154 0.0000 0.0000
0.0000 4.9154 0.0000
0.0000 0.0000 4.9154
Mo P Se
1 1 3
Direct
0.0000 0.0000 0.0000 Mo
0.5000 0.5000 0.5000 P
0.0000 0.0000 0.5000 Se
0.0000 0.5000 0.0000 Se
0.5000 0.0000 0.0000 Se
```

=====

Of them, the most stable is two and the least stable is one.

=====

one:
Density functional theory data (PBE) for crystalline SiMoP3 at its relaxed geometry.

Computed properties:
calculated volume = 20.61 Å³ per atom
size of the total moment = 0.00 μB per cell

The structure in POSCAR format:
```
SiMoP3
1.0
4.6880 0.0000 0.0000
0.0000 4.6880 0.0000
0.0000 0.0000 4.6880
Si Mo P
1 1 3
Direct
0.0000 0.0000 0.0000 Si
0.5000 0.5000 0.5000 Mo
0.0000 0.5000 0.5000 P
0.5000 0.0000 0.5000 P
0.5000 0.5000 0.0000 P
```

=====

two:
Density functional theory data (PBE) for crystalline SiMoP3 at its relaxed geometry.

Computed properties:
calculated volume = 17.55 Å³ per atom
size of the total moment = 2.82 μB per cell

The structure in POSCAR format:
```
SiMoP3
1.0
4.4436 0.0000 0.0000
0.0000 4.4436 0.0000
0.0000 0.0000 4.4436
Si Mo P
1 1 3
Direct
0.0000 0.0000 0.0000 Si
0.5000 0.5000 0.5000 Mo
0.0000 0.0000 0.5000 P
0.0000 0.5000 0.0000 P
0.5000 0.0000 0.0000 P
```

=====

Of them, the most stable is one and the least stable is two.

=====

one:
Density functional theory data (PBE) for crystalline SnMo2P at its relaxed geometry.

Computed properties:
calculated volume = 18.77 Å³ per atom
size of the total moment = 0.00 μB per cell

The structure in POSCAR format:
```
SnMo2P
1.0
-2.0361 2.0361 9.0537
2.0361 -2.0361 9.0537
2.0361 2.0361 -9.0537
Sn Mo P
2 4 2
Direct
0.0000 0.0000 0.0000 Sn
0.7500 0.2500 0.5000 Sn
0.1951 0.6250 0.0701 Mo
0.3750 0.4451 0.5701 Mo
0.5549 0.1250 0.9299 Mo
0.8750 0.8049 0.4299 Mo
0.2500 0.7500 0.5000 P
0.5000 0.5000 0.0000 P
```

=====

two:
Density functional theory data (PBE) for crystalline SnMo2P at its relaxed geometry.

Computed properties:
calculated volume = 16.15 Å³ per atom
size of the total moment = 0.00 μB per cell

The structure in POSCAR format:
```
SnMo2P
1.0
0.0000 3.1844 3.1844
3.1844 0.0000 3.1844
3.1844 3.1844 0.0000
Sn Mo P
1 2 1
Direct
0.0000 0.0000 0.0000 Sn
0.2500 0.2500 0.2500 Mo
0.7500 0.7500 0.7500 Mo
0.5000 0.5000 0.5000 P
```

=====

Of them, the most stable is two and the least stable is one.

=====

one:
Density functional theory data (PBE) for crystalline SnMo3P at its relaxed geometry.

Computed properties:
calculated volume = 23.78 Å³ per atom
size of the total moment = 2.73 μB per cell

The structure in POSCAR format:
```
SnMo3P
1.0
4.9176 0.0000 0.0000
0.0000 4.9176 0.0000
0.0000 0.0000 4.9176
Sn Mo P
1 3 1
Direct
0.0000 0.0000 0.0000 Sn
0.0000 0.0000 0.5000 Mo
0.0000 0.5000 0.0000 Mo
0.5000 0.0000 0.0000 Mo
0.5000 0.5000 0.5000 P
```

=====

two:
Density functional theory data (PBE) for crystalline SnMo3P at its relaxed geometry.

Computed properties:
calculated volume = 18.09 Å³ per atom
size of the total moment = 0.00 μB per cell

The structure in POSCAR format:
```
SnMo3P
1.0
4.4890 0.0000 0.0000
0.0000 4.4890 0.0000
0.0000 0.0000 4.4890
Sn Mo P
1 3 1
Direct
0.0000 0.0000 0.0000 Sn
0.0000 0.5000 0.5000 Mo
0.5000 0.0000 0.5000 Mo
0.5000 0.5000 0.0000 Mo
0.5000 0.5000 0.5000 P
```

=====

Of them, the most stable is two and the least stable is one.

=====

one:
Density functional theory data (PBE) for crystalline SrMoP2 at its relaxed geometry.

Computed properties:
calculated volume = 17.93 Å³ per atom
size of the total moment = 0.00 μB per cell

The structure in POSCAR format:
```
SrMoP2
1.0
3.1736 0.0000 0.0000
0.0000 3.1736 0.0000
0.0000 0.0000 7.1204
Sr Mo P
1 1 2
Direct
0.0000 0.0000 0.0000 Sr
0.0000 0.0000 0.5000 Mo
0.5000 0.5000 0.3088 P
0.5000 0.5000 0.6912 P
```

=====

two:
Density functional theory data (PBE) for crystalline SrMoP2 at its relaxed geometry.

Computed properties:
calculated volume = 18.65 Å³ per atom
size of the total moment = 1.55 μB per cell

The structure in POSCAR format:
```
SrMoP2
1.0
0.0000 3.3410 3.3410
3.3410 0.0000 3.3410
3.3410 3.3410 0.0000
Sr Mo P
1 1 2
Direct
0.0000 0.0000 0.0000 Sr
0.7500 0.7500 0.7500 Mo
0.2500 0.2500 0.2500 P
0.5000 0.5000 0.5000 P
```

=====

three:
Density functional theory data (PBE) for crystalline SrMoP2 at its relaxed geometry.

Computed properties:
calculated volume = 27.84 Å³ per atom
size of the total moment = 0.00 μB per cell

The structure in POSCAR format:
```
SrMoP2
1.0
-3.0276 3.0276 6.0737
3.0276 -3.0276 6.0737
3.0276 3.0276 -6.0737
Sr Mo P
2 2 4
Direct
0.0000 0.0000 0.0000 Sr
0.7500 0.2500 0.5000 Sr
0.2500 0.7500 0.5000 Mo
0.5000 0.5000 0.0000 Mo
0.2346 0.6250 0.1096 P
0.3750 0.4846 0.6096 P
0.5154 0.1250 0.8904 P
0.8750 0.7654 0.3904 P
```

=====

Of them, the most stable is one and the least stable is two.

=====

one:
Density functional theory data (PBE) for crystalline SrMoP2 at its relaxed geometry.

Computed properties:
calculated volume = 23.07 Å³ per atom
size of the total moment = 0.00 μB per cell

The structure in POSCAR format:
```
SrMoP2
1.0
4.5860 0.0000 0.0000
0.0000 1.8167 5.5374
0.0000 -1.8167 5.5374
Sr Mo P
1 1 2
Direct
0.0000 0.0000 0.0000 Sr
0.5000 0.7533 0.7533 Mo
0.0000 0.7188 0.7188 P
0.5000 0.3940 0.3940 P
```

=====

two:
Density functional theory data (PBE) for crystalline SrMoP2 at its relaxed geometry.

Computed properties:
calculated volume = 21.57 Å³ per atom
size of the total moment = 0.98 μB per cell

The structure in POSCAR format:
```
SrMoP2
1.0
-1.9153 2.9539 3.8120
1.9153 -2.9539 3.8120
1.9153 2.9539 -3.8120
Sr Mo P
1 1 2
Direct
0.0000 0.0000 0.0000 Sr
0.5000 0.5000 0.0000 Mo
0.3013 0.8013 0.5000 P
0.6987 0.1987 0.5000 P
```

=====

Of them, the most stable is one and the least stable is two.

=====

one:
Density functional theory data (PBE) for crystalline SrMo3P at its relaxed geometry.

Computed properties:
calculated volume = 22.05 Å³ per atom
size of the total moment = 0.00 μB per cell

The structure in POSCAR format:
```
SrMo3P
1.0
4.7954 0.0000 0.0000
0.0000 4.7954 0.0000
0.0000 0.0000 4.7954
Sr Mo P
1 3 1
Direct
0.0000 0.0000 0.0000 Sr
0.0000 0.0000 0.5000 Mo
0.0000 0.5000 0.0000 Mo
0.5000 0.0000 0.0000 Mo
0.5000 0.5000 0.5000 P
```

=====

two:
Density functional theory data (PBE) for crystalline SrMo3P at its relaxed geometry.

Computed properties:
calculated volume = 20.09 Å³ per atom
size of the total moment = 0.00 μB per cell

The structure in POSCAR format:
```
SrMo3P
1.0
4.6488 0.0000 0.0000
0.0000 4.6488 0.0000
0.0000 0.0000 4.6488
Sr Mo P
1 3 1
Direct
0.0000 0.0000 0.0000 Sr
0.0000 0.5000 0.5000 Mo
0.5000 0.0000 0.5000 Mo
0.5000 0.5000 0.0000 Mo
0.5000 0.5000 0.5000 P
```

=====

Of them, the most stable is two and the least stable is one.